{"formula": "ZrTe2As", "functional": "SCAN", "state": "single point on PBEsol structure", "lattice": [[4.1435, 0.0000, 0.0000], [0.0000, 4.9234, 0.0000], [0.0000, 0.0000, 8.9152]], "species": ["Zr", "Zr", "Te", "Te", "Te", "Te", "As", "As"], "fractional_positions": [[0.0000, 0.0000, 0.0000], [0.5000, 0.5000, 0.5000], [0.0000, 0.5000, 0.2150], [0.0000, 0.5000, 0.7850], [0.5000, 0.0000, 0.2850], [0.5000, 0.0000, 0.7150], [0.0000, 0.0000, 0.5000], [0.5000, 0.5000, 0.0000]], "total_energy_ev_per_atom": -31.54, "dos_ef_per_ev_atom": 0.60, "volume_a3_per_atom": 22.73, "formation_energy_uncorrected_mev_per_atom": -193.9, "density_kg_m3": 7694}

{"formula": "ZrTe2As", "functional": "SCAN", "state": "single point on PBEsol structure", "lattice": [[9.1898, 0.0000, 0.0000], [0.0000, 3.7024, 0.0000], [-0.7500, 0.0000, 6.2700]], "species": ["Zr", "Zr", "Te", "Te", "Te", "Te", "As", "As"], "fractional_positions": [[0.0000, 0.0000, 0.0000], [0.5000, 0.5000, 0.0000], [0.0163, 0.5000, 0.3561], [0.3020, 0.0000, 0.7236], [0.5163, 0.0000, 0.3561], [0.8020, 0.5000, 0.7236], [0.2147, 0.5000, 0.0675], [0.7147, 0.0000, 0.0675]], "total_energy_ev_per_atom": -31.91, "dos_ef_per_ev_atom": 0.40, "volume_a3_per_atom": 26.67, "formation_energy_uncorrected_mev_per_atom": -562.5, "density_kg_m3": 6559}

no.,magnetization (μB per formula unit)
1,0.00
2,0.00